! PBE+U Na2VRh2O6, optimized geometry; values from VASP
! **Raw total energy**: -6.313 eV per atom
! **SG**: C2/m, No. 12
! **Magnetic moment**: 0.957 μB/f.u.
&SYSTEM
  ibrav = 0, nat = 11, ntyp = 4
/
ATOMIC_SPECIES
O 16.00 O.upf
Rh 102.91 Rh.upf
V 50.94 V.upf
Na 22.99 Na.upf
CELL_PARAMETERS angstrom
-1.0956 5.1716 0.5788
-3.9062 -3.5848 -0.4136
1.7371 -1.1676 5.3825
ATOMIC_POSITIONS angstrom
O -0.3916 -1.9122 3.5892
O -2.5948 0.3943 3.8696
O -0.6699 0.0248 1.6781
O -3.8115 -0.5922 1.6272
O 0.5468 1.0113 3.9205
O -2.8731 2.3314 1.9585
Rh -1.1701 1.6498 2.9371
Rh -2.0946 -1.2306 2.6106
V 0.8685 -0.5838 2.6913
Na -1.5796 3.6636 0.4079
Na -3.4222 -2.0769 -0.2427